Here is ZrTi3Re after structural relaxation from the Alexandria database. Energies are from PBE.

For the density of states at the Fermi level, the calculation gives 1.7045 states/eV per atom. As for the formation enthalpy at 0 K: 2.54 eV/f.u.

Unit cell a=4.740 b=4.740 c=4.740 alpha=90.00 beta=90.00 gamma=90.00
Positions (direct):
Ti: 0.500 0.000 0.000
Ti: 0.000 0.000 0.500
Ti: 0.000 0.500 0.000
Zr: 0.500 0.500 0.500
Re: 0.000 0.000 0.000

---

Here is ZrTi2Re after structural relaxation from the Alexandria database. Energies are from PBE.

For the density of states at the Fermi level, the calculation gives 1.7367 states/eV per atom. As for the formation enthalpy at 0 K: -0.31 eV/f.u.

Unit cell a=4.588 b=4.588 c=4.588 alpha=60.00 beta=60.00 gamma=60.00
Positions (direct):
Zr: 0.000 0.000 0.000
Re: 0.500 0.500 0.500
Ti: 0.250 0.250 0.250
Ti: 0.750 0.750 0.750

---

Here is Zr2TiRe after structural relaxation from the Alexandria database. Energies are from PBE.

For the density of states at the Fermi level, the calculation gives 1.2773 states/eV per atom. As for the formation enthalpy at 0 K: -0.28 eV/f.u.

Unit cell a=3.335 b=4.746 c=4.746 alpha=90.00 beta=90.00 gamma=90.00
Positions (direct):
Zr: 0.000 0.000 0.500
Ti: 0.500 0.000 0.000
Zr: 0.000 0.500 0.000
Re: 0.500 0.500 0.500